Computed, not measured: crystalline CeDyPdRh at its relaxed geometry at the GGA-PBE level of DFT.

Properties
The total DFT energy (no corrections) is -6.504 eV/atom. Its energy above the most stable polymorph in this dataset is 97 meV per atom. Its space-group type is F-43m, No. 216. The calculation puts the formation energy at -0.734 eV per atom. For the density of states at the Fermi level, the calculation gives 8.18 states/eV per cell.

Lattice parameters (Å, degrees): 4.9581 4.9581 4.9581 60.00 60.00 60.00
Last column: nearest neighbours and their distance in Å.
Fractional positions:
Ce1 0.0000 0.0000 0.0000  4 Rh 3.04, 4 Pd 3.04
Dy1 0.5000 0.5000 0.5000  4 Pd 3.04, 4 Rh 3.04
Pd1 0.7500 0.7500 0.7500  4 Dy 3.04, 4 Ce 3.04
Rh1 0.2500 0.2500 0.2500  4 Dy 3.04, 4 Ce 3.04